HfCrF2 PBE+U relaxed; distance to the lowest polymorph of the same formula = 361.7 meV per atom
1.0
-4.536 2.028 1.664
-0.586 -4.023 3.306
-0.132 1.545 6.009
Cr Hf F
2 2 4
direct
0.500 0.500 0.000
0.250 0.750 0.500
0.000 0.000 0.000
0.750 0.250 0.500
0.644 0.125 0.250
0.106 0.625 0.250
0.375 0.356 0.750
0.875 0.894 0.750